# 1
Sr3PuGa2O9 | GGA-PBE | optimized geometry

Lattice parameters (Å, degrees): 5.688 5.688 7.079 90.00 90.00 120.00
Atoms (fractional coordinates):
1 Sr 0.000 0.000 0.000
2 Sr 0.333 0.667 0.703
3 Sr 0.667 0.333 0.297
4 Pu 0.000 0.000 0.500
5 Ga 0.333 0.667 0.150
6 Ga 0.667 0.333 0.850
7 O 0.000 0.500 0.000
8 O 0.169 0.338 0.328
9 O 0.169 0.831 0.328
10 O 0.338 0.169 0.672
11 O 0.500 0.000 0.000
12 O 0.500 0.500 0.000
13 O 0.662 0.831 0.328
14 O 0.831 0.169 0.672
15 O 0.831 0.662 0.672

Formation energy (no corrections) (meV per atom): -2484


# 2
TmSc2Cd | GGA-PBE | optimized geometry

Lattice parameters (Å, degrees): 6.273 6.273 9.772 90.00 90.00 148.72
Atoms (fractional coordinates):
1 Tm 0.034 0.966 0.750
2 Tm 0.966 0.034 0.250
3 Sc 0.370 0.630 0.529
4 Sc 0.370 0.630 0.971
5 Sc 0.630 0.370 0.029
6 Sc 0.630 0.370 0.471
7 Cd 0.240 0.760 0.250
8 Cd 0.760 0.240 0.750

E above lowest polymorph (eV per atom): 0.0247
ΔH_f (0 K) (kJ per mole of atoms): -10.4


# 3
Th5S6 | GGA-PBE | optimized geometry

Lattice parameters (Å, degrees): 6.953 6.953 6.958 99.54 99.54 119.94
Atoms (fractional coordinates):
1 Th 0.000 0.000 0.000
2 Th 0.167 0.833 0.500
3 Th 0.334 0.666 0.000
4 Th 0.666 0.334 0.000
5 Th 0.833 0.167 0.500
6 S 0.094 0.419 0.257
7 S 0.256 0.256 0.743
8 S 0.419 0.094 0.257
9 S 0.581 0.906 0.743
10 S 0.744 0.744 0.257
11 S 0.906 0.581 0.743

Formation energy (no corrections) (meV per atom): -1872


# 4
PmNdPtPb | GGA-PBE | optimized geometry

Lattice parameters (Å, degrees): 5.336 5.336 5.336 60.00 60.00 60.00
Atoms (fractional coordinates):
1 Pm 0.000 0.000 0.000
2 Nd 0.500 0.500 0.500
3 Pt 0.250 0.250 0.250
4 Pb 0.750 0.750 0.750

ΔH_f (0 K) (kJ per mole of atoms): -65.8


# 5
CaCd2SnS | GGA-PBE | optimized geometry

Lattice parameters (Å, degrees): 5.231 5.231 6.163 90.00 90.00 90.00
Atoms (fractional coordinates):
1 Ca 0.000 0.000 0.000
2 Cd 0.000 0.500 0.500
3 Cd 0.500 0.000 0.500
4 Sn 0.000 0.000 0.500
5 S 0.500 0.500 0.000

Formation energy (no corrections) (meV per atom): 42


# 6
ScTl2Mo | GGA-PBE | optimized geometry

Lattice parameters (Å, degrees): 5.207 5.207 5.570 99.59 99.59 35.06
Atoms (fractional coordinates):
1 Sc 0.000 0.000 0.000
2 Tl 0.245 0.245 0.739
3 Tl 0.755 0.755 0.261
4 Mo 0.500 0.500 0.500

E above lowest polymorph (eV per atom): 0.0470
ΔH_f (0 K) (kJ per mole of atoms): 29.3


# 7
Dy2Ho4Th3 | GGA-PBE | optimized geometry

Lattice parameters (Å, degrees): 3.549 3.549 26.370 90.00 90.00 120.00
Atoms (fractional coordinates):
1 Dy 0.000 0.000 0.000
2 Dy 0.000 0.000 0.219
3 Ho 0.000 0.000 0.345
4 Ho 0.000 0.000 0.564
5 Ho 0.333 0.667 0.671
6 Ho 0.333 0.667 0.892
7 Th 0.000 0.000 0.782
8 Th 0.333 0.667 0.112
9 Th 0.333 0.667 0.452

ΔH_f (0 K) (kJ per mole of atoms): 7.8


# 8
Zn2CoHIr | GGA-PBE | optimized geometry

Lattice parameters (Å, degrees): 4.204 4.204 3.119 90.00 90.00 90.00
Atoms (fractional coordinates):
1 Zn 0.000 0.500 0.000
2 Zn 0.500 0.000 0.000
3 Co 0.000 0.000 0.500
4 H 0.000 0.000 0.000
5 Ir 0.500 0.500 0.500

Energy (eV/atom): -4.36


# 9
Hf2GaSb3 | GGA-PBE | optimized geometry

Lattice parameters (Å, degrees): 3.936 3.936 8.689 90.00 90.00 90.00
Atoms (fractional coordinates):
1 Hf 0.000 0.500 0.240
2 Hf 0.500 0.000 0.760
3 Ga 0.000 0.000 0.500
4 Sb 0.000 0.500 0.885
5 Sb 0.500 0.000 0.115
6 Sb 0.500 0.500 0.500

Formation energy (no corrections) (meV per atom): -455


# 10
Pm3Ge3Ru2 | GGA-PBE | optimized geometry

Lattice parameters (Å, degrees): 5.997 5.997 14.292 90.00 90.00 137.86
Atoms (fractional coordinates):
1 Pm 0.079 0.921 0.613
2 Pm 0.079 0.921 0.887
3 Pm 0.357 0.643 0.750
4 Pm 0.643 0.357 0.250
5 Pm 0.921 0.079 0.113
6 Pm 0.921 0.079 0.387
7 Ge 0.329 0.671 0.250
8 Ge 0.379 0.621 0.541
9 Ge 0.379 0.621 0.959
10 Ge 0.621 0.379 0.041
11 Ge 0.621 0.379 0.459
12 Ge 0.671 0.329 0.750
13 Ru 0.216 0.784 0.081
14 Ru 0.216 0.784 0.419
15 Ru 0.784 0.216 0.581
16 Ru 0.784 0.216 0.919

ΔH_f (0 K) (kJ per mole of atoms): -69.1


# 11
Cu3ReAg | GGA-PBE | optimized geometry

Lattice parameters (Å, degrees): 4.664 4.664 4.664 90.00 90.00 90.00
Atoms (fractional coordinates):
1 Cu 0.000 0.000 0.500
2 Cu 0.000 0.500 0.000
3 Cu 0.500 0.000 0.000
4 Re 0.000 0.000 0.000
5 Ag 0.500 0.500 0.500

E above lowest polymorph (eV per atom): 0.0000
ΔH_f (0 K) (kJ per mole of atoms): 142.6


# 12
Fe2NiHPd | GGA-PBE | optimized geometry

Lattice parameters (Å, degrees): 3.707 3.707 3.850 90.00 90.00 90.00
Atoms (fractional coordinates):
1 Fe 0.000 0.500 0.000
2 Fe 0.500 0.000 0.000
3 Ni 0.000 0.000 0.500
4 H 0.500 0.500 0.000
5 Pd 0.500 0.500 0.500

E above lowest polymorph (eV per atom): 0.0356